Record 1
Here is a relaxed K2BePt crystal from Alexandria. Energies are from PBE-GGA.

Computed properties:
**Calculated formation energy**: -0.12 eV per atom

Cell lengths 3.9314, 3.9314, 9.5094 Å; angles 79.15, 79.15, 59.97 degrees
Last column: nearest neighbours and their distance in Å.
Sites, in units of the cell vectors:
Be 0.2083 0.2083 0.3750  3 Pt 2.27
K 0.7932 0.7932 0.6411  3 Pt 3.35-3.36, 3 Be 3.35-3.36
K 0.9569 0.9569 0.1088  3 Be 3.35-3.36, 3 Pt 3.35-3.36
Pt 0.5416 0.5416 0.3750  3 Be 2.27

Record 2
Here is a relaxed KBePt2 crystal from Alexandria. Energies are from PBE-GGA.

Computed properties:
**Calculated formation energy**: -0.20 eV per atom

Cell lengths 5.5125, 5.5125, 6.2378 Å; angles 64.81, 64.81, 30.00 degrees
Last column: nearest neighbours and their distance in Å.
Sites, in units of the cell vectors:
Pt 0.9236 0.9236 0.1620  2 Be 2.20
Pt 0.5764 0.5764 0.3380  2 Be 2.20
Be 0.2500 0.2500 0.2500  4 Pt 2.20
K 0.7500 0.7500 0.7500  2 K 2.85